(1)
# TmIrW

An optimized crystal structure of TmIrW (PBE-GGA, OQMD via LeMat-Bulk).

Computed properties:
- Calculated formation energy: 430 meV per atom

a = 4.436 Å, b = 4.436 Å, c = 4.436 Å
α = 60.00°, β = 60.00°, γ = 60.00°
Fractional positions:
Tm1 0.000 0.000 0.000
Ir1 0.500 0.500 0.500
W1 0.750 0.750 0.750

(2)
# KNbAgS3

An optimized crystal structure of KNbAgS3 (PBE-GGA, OQMD via LeMat-Bulk).

Computed properties:
- Energy: -5.12 eV per atom

a = 7.576 Å, b = 7.576 Å, c = 9.912 Å
α = 90.00°, β = 90.00°, γ = 152.24°
Fractional positions:
K1 0.247 0.753 0.750
K2 0.753 0.247 0.250
Nb1 0.500 0.500 0.000
Nb2 0.500 0.500 0.500
Ag1 0.050 0.950 0.250
Ag2 0.950 0.050 0.750
S1 0.121 0.879 0.030
S2 0.121 0.879 0.470
S3 0.431 0.569 0.250
S4 0.569 0.431 0.750
S5 0.879 0.121 0.530
S6 0.879 0.121 0.970